First-principles (PBE-GGA) data for a relaxed NaLiPa2O5 crystal, as listed in Alexandria via LeMat-Bulk. Values from VASP.

Geometry as Quantum ESPRESSO input:
```
&SYSTEM
  ibrav = 0, nat = 18, ntyp = 4
/
ATOMIC_SPECIES
Na 22.99 Na.upf
Li 6.94 Li.upf
Pa 231.04 Pa.upf
O 16.00 O.upf
CELL_PARAMETERS angstrom
6.589 0.000 0.000
0.000 6.589 0.000
0.000 0.000 5.762
ATOMIC_POSITIONS crystal
Na 0.000 0.000 0.000
Na 0.500 0.500 0.000
Li 0.000 0.500 0.000
Li 0.500 0.000 0.000
Pa 0.171 0.329 0.500
Pa 0.329 0.829 0.500
Pa 0.671 0.171 0.500
Pa 0.829 0.671 0.500
O 0.000 0.000 0.500
O 0.144 0.644 0.261
O 0.144 0.644 0.739
O 0.356 0.144 0.261
O 0.356 0.144 0.739
O 0.500 0.500 0.500
O 0.644 0.856 0.261
O 0.644 0.856 0.739
O 0.856 0.356 0.261
O 0.856 0.356 0.739
```

Calculated values
Total DFT energy (no corrections): -143.54 eV for the cell shown
Raw formation energy: -2750.7 meV/atom
Space-group type: P4/mbm
Theoretical density: 7.59 Mg/m³
Total magnetization: 3.8 μB per cell